No. 1
A geometry-optimized Nb4GaRh7 structure. Source: the Alexandria database, functional PBE.

As for the density of states at the Fermi level: 0.789 states/eV/atom. The value obtained for the total energy is -0.29721 hartree per atom.

It has space group C2/m (No. 12), with a = 10.735 Å, b = 4.653 Å, c = 9.303 Å, α = 90.00°, β = 119.15° and γ = 90.00°. The inequivalent atoms are Nb at (0.085, 0.000, 0.273), Nb at (0.247, 0.000, 0.829), Ga at (0.000, 0.500, 0.500), Rh at (0.000, 0.000, 0.500), Rh at (0.077, 0.500, 0.829), Rh at (0.138, 0.000, 0.039) and Rh at (0.208, 0.500, 0.408).

=====

No. 2
A geometry-optimized HfZnCd3 structure. Source: the Alexandria database, functional PBE.

As for the density of states at the Fermi level: 0.900 states/eV/atom. The value obtained for the total energy is -0.07981 hartree per atom.

It has space group Pm-3m (No. 221), with a = 4.885 Å, b = 4.885 Å, c = 4.885 Å, α = 90.00°, β = 90.00° and γ = 90.00°. The inequivalent atoms are Hf at (0.000, 0.000, 0.000), Zn at (0.500, 0.500, 0.500) and Cd at (0.000, 0.500, 0.500).

=====

No. 3
A geometry-optimized SrYCo3 structure. Source: the Alexandria database, functional PBE.

As for the density of states at the Fermi level: 4.356 states/eV/atom. The value obtained for the total energy is -0.17673 hartree per atom.

It has space group Pm-3m (No. 221), with a = 4.928 Å, b = 4.928 Å, c = 4.928 Å, α = 90.00°, β = 90.00° and γ = 90.00°. The inequivalent atoms are Sr at (0.000, 0.000, 0.000), Y at (0.500, 0.500, 0.500) and Co at (0.000, 0.500, 0.500).

=====

No. 4
A geometry-optimized BaMgH2Pb structure. Source: the Alexandria database, functional PBE.

As for the density of states at the Fermi level: 0.143 states/eV/atom. The value obtained for the total energy is -0.11323 hartree per atom.

It has space group Cmcm (No. 63), with a = 4.832 Å, b = 12.822 Å, c = 6.695 Å, α = 90.00°, β = 90.00° and γ = 90.00°. The inequivalent atoms are Ba at (0.000, 0.213, 0.250), Mg at (0.000, 0.500, 0.000), H at (0.000, 0.345, 0.555) and Pb at (0.000, 0.068, 0.750).

=====

No. 5
A geometry-optimized InTe2IF structure. Source: the Alexandria database, functional PBE.

The uncorrected formation energy is -106 kJ/mol of formula units. As for the density of states at the Fermi level: 0.941 states/eV/atom. The value obtained for the total energy is -0.09954 hartree per atom.

It has space group P4/mmm (No. 123), with a = 4.747 Å, b = 4.747 Å, c = 7.164 Å, α = 90.00°, β = 90.00° and γ = 90.00°. The inequivalent atoms are In at (0.000, 0.000, 0.000), Te at (0.000, 0.500, 0.500), I at (0.500, 0.500, 0.000) and F at (0.500, 0.500, 0.500).

=====

No. 6
A geometry-optimized RbCr2SnPt structure. Source: the Alexandria database, functional PBE.

As for the density of states at the Fermi level: 0.638 states/eV/atom. The value obtained for the total energy is -0.20239 hartree per atom.

It has space group P4/mmm (No. 123), with a = 5.325 Å, b = 5.325 Å, c = 5.059 Å, α = 90.00°, β = 90.00° and γ = 90.00°. The inequivalent atoms are Rb at (0.000, 0.000, 0.000), Cr at (0.000, 0.500, 0.500), Sn at (0.500, 0.500, 0.000) and Pt at (0.500, 0.500, 0.500).